Entry from the Alexandria database: crystalline Sm3NiPb3 at its relaxed geometry (PBE).

extended XYZ file:
```
14
Lattice="5.785 -2.271 0.000 5.785 2.271 0.000 -5.221 0.000 14.574" Properties=species:S:1:pos:R:3 pbc="T T T"
Sm -1.730 0.000 5.588
Sm -3.733 0.000 13.411
Sm 1.527 0.000 3.485
Sm 4.821 0.000 11.089
Sm 10.081 0.000 1.163
Sm 8.078 0.000 8.986
Ni -0.178 0.000 8.964
Ni 6.526 0.000 5.610
Pb 1.592 0.000 6.720
Pb -0.617 0.000 13.449
Pb 1.514 0.000 11.085
Pb 4.834 0.000 3.489
Pb 6.965 0.000 1.126
Pb 4.757 0.000 7.854
```

Values from the calculation:
Calculated formation energy = -0.47 eV/atom
N(E_F) = 0.724 states/eV per atom
Total magnetization = 0.0 μB/cell
Theoretical density = 9.814 Mg/m³
Space group = C2/m, No. 12